Entry 1:
Entry from Alexandria: a PBEsol-optimized structure of InFe2Os (meta-GGA SCAN).

```
InFe2Os
1.0
2.9121 0.0000 0.0000
0.0000 2.9121 0.0000
0.0000 0.0000 6.5274
In Fe Os
1 2 1
Cartesian
0.0000 0.0000 0.0000
0.0000 0.0000 3.4484
1.4560 1.4560 4.7149
1.4560 1.4560 2.0138
```

Output
M_tot = 1.23 μB/atom
Symmetry = P4mm (99)
E = -140.7 eV per cell
E_form = 0.203 eV/atom



Entry 2:
Entry from Alexandria: a PBEsol-optimized structure of InFe2Os (meta-GGA SCAN).

```
InFe2Os
1.0
2.7174 -3.7346 0.0000
2.7174 3.7346 0.0000
0.0000 0.0000 2.7190
In Fe Os
1 2 1
Cartesian
0.0000 0.0000 0.0000
1.3587 1.8673 1.3595
1.3587 -1.8673 1.3595
2.7174 0.0000 0.0000
```

Output
M_tot = 1.39 μB/atom
Symmetry = Cmmm (65)
E = -140.4 eV per cell
E_form = 0.285 eV/atom



Entry 3:
Entry from Alexandria: a PBEsol-optimized structure of InFeOsPb2 (meta-GGA SCAN).

```
InFeOsPb2
1.0
4.9673 0.0000 0.0000
0.0000 4.9673 0.0000
0.0000 0.0000 4.5269
In Fe Os Pb
1 1 1 2
Cartesian
0.0000 0.0000 0.0000
2.4836 2.4836 2.2634
2.4836 2.4836 0.0000
0.0000 2.4836 2.2634
2.4836 0.0000 2.2634
```

Output
M_tot = 0.00 μB/atom
Symmetry = P4/mmm (123)
E = -269.8 eV per cell
E_form = 1.023 eV/atom



Entry 4:
Entry from Alexandria: a PBEsol-optimized structure of InFe2P (meta-GGA SCAN).

```
InFe2P
1.0
4.0950 0.0000 0.0000
0.0000 4.0950 0.0000
0.0000 0.0000 2.9706
In Fe P
1 2 1
Cartesian
0.0000 0.0000 0.0000
0.0000 2.0475 1.4853
2.0475 0.0000 1.4853
2.0475 2.0475 0.0000
```

Output
M_tot = 0.00 μB/atom
Symmetry = P4/mmm (123)
E = -77.9 eV per cell
E_form = 0.537 eV/atom



Entry 5:
Entry from Alexandria: a PBEsol-optimized structure of InFe3P (meta-GGA SCAN).

```
InFe3P
1.0
4.1370 0.0000 0.0000
0.0000 4.1370 0.0000
0.0000 0.0000 4.1370
In Fe P
1 3 1
Cartesian
0.0000 0.0000 0.0000
0.0000 2.0685 2.0685
2.0685 0.0000 2.0685
2.0685 2.0685 0.0000
2.0685 2.0685 2.0685
```

Output
M_tot = 1.18 μB/atom
Symmetry = Pm-3m (221)
E = -97.4 eV per cell
E_form = 0.154 eV/atom



Entry 6:
Entry from Alexandria: a PBEsol-optimized structure of InFeP3 (meta-GGA SCAN).

```
InFeP3
1.0
4.3862 0.0000 0.0000
0.0000 4.3862 0.0000
0.0000 0.0000 4.3862
In Fe P
1 1 3
Cartesian
0.0000 0.0000 0.0000
2.1931 2.1931 2.1931
0.0000 2.1931 2.1931
2.1931 0.0000 2.1931
2.1931 2.1931 0.0000
```

Output
M_tot = 0.51 μB/atom
Symmetry = Pm-3m (221)
E = -79.9 eV per cell
E_form = 0.565 eV/atom



Entry 7:
Entry from Alexandria: a PBEsol-optimized structure of In2FePb (meta-GGA SCAN).

```
In2FePb
1.0
-1.5150 2.2483 6.4855
1.5150 -2.2483 6.4855
1.5150 2.2483 -6.4855
In Fe Pb
2 1 1
Cartesian
0.0000 0.0000 2.4028
0.0000 0.0000 10.5681
1.5150 0.0000 0.0000
0.0000 2.2483 0.0000
```

Output
M_tot = 0.63 μB/atom
Symmetry = Immm (71)
E = -159.5 eV per cell
E_form = 0.297 eV/atom



Entry 8:
Entry from Alexandria: a PBEsol-optimized structure of In2FePb (meta-GGA SCAN).

```
In2FePb
1.0
0.0000 3.5555 3.5555
3.5555 0.0000 3.5555
3.5555 3.5555 0.0000
In Fe Pb
2 1 1
Cartesian
1.7777 1.7777 1.7777
5.3332 5.3332 5.3332
0.0000 0.0000 0.0000
3.5555 3.5555 3.5555
```

Output
M_tot = 0.68 μB/atom
Symmetry = Fm-3m (225)
E = -158.6 eV per cell
E_form = 0.518 eV/atom



Entry 9:
Entry from Alexandria: a PBEsol-optimized structure of InFePb (meta-GGA SCAN).

```
InFePb
1.0
0.0000 3.3259 3.3259
3.3259 0.0000 3.3259
3.3259 3.3259 0.0000
In Fe Pb
1 1 1
Cartesian
0.0000 0.0000 0.0000
3.3259 3.3259 3.3259
1.6630 1.6630 1.6630
```

Output
M_tot = 1.01 μB/atom
Symmetry = F-43m (216)
E = -125.1 eV per cell
E_form = 0.720 eV/atom



Entry 10:
Entry from Alexandria: a PBEsol-optimized structure of In2FePb (meta-GGA SCAN).

```
In2FePb
1.0
-2.1457 2.1457 4.7004
2.1457 -2.1457 4.7004
2.1457 2.1457 -4.7004
In Fe Pb
2 1 1
Cartesian
2.1457 0.0000 2.3502
0.0000 2.1457 2.3502
0.0000 0.0000 0.0000
0.0000 0.0000 4.7004
```

Output
M_tot = 0.83 μB/atom
Symmetry = I4/mmm (139)
E = -158.9 eV per cell
E_form = 0.437 eV/atom



Entry 11:
Entry from Alexandria: a PBEsol-optimized structure of In2FePt (meta-GGA SCAN).

```
In2FePt
1.0
5.1154 -1.4591 0.0000
5.1154 1.4591 0.0000
-1.5270 0.0000 4.4956
In Fe Pt
2 1 1
Cartesian
0.0000 0.0000 0.0000
1.2317 0.0000 2.7619
4.0214 0.0000 2.2307
7.5439 0.0000 0.6457
```

Output
M_tot = 0.63 μB/atom
Symmetry = Cm (8)
E = -155.4 eV per cell
E_form = -0.073 eV/atom



Entry 12:
Entry from Alexandria: a PBEsol-optimized structure of InFe2Pt (meta-GGA SCAN).

```
InFe2Pt
1.0
3.0175 0.0000 0.0000
0.0000 3.0175 0.0000
0.0000 0.0000 6.2321
In Fe Pt
1 2 1
Cartesian
0.0000 0.0000 0.0000
0.0000 0.0000 3.3846
1.5087 1.5087 4.5642
1.5087 1.5087 1.8267
```

Output
M_tot = 1.34 μB/atom
Symmetry = P4mm (99)
E = -140.4 eV per cell
E_form = -0.152 eV/atom



Entry 13:
Entry from Alexandria: a PBEsol-optimized structure of InFe2Pt (meta-GGA SCAN).

```
InFe2Pt
1.0
1.4400 0.8314 8.2446
-1.4400 0.8314 8.2446
0.0000 -1.6627 8.2446
In Fe Pt
1 2 1
Cartesian
0.0000 0.0000 0.0000
0.0000 0.0000 12.1480
0.0000 0.0000 18.6966
0.0000 0.0000 5.9324
```

Output
M_tot = 1.46 μB/atom
Symmetry = R3m (160)
E = -139.6 eV per cell
E_form = 0.049 eV/atom



Entry 14:
Entry from Alexandria: a PBEsol-optimized structure of InFe2Pt (meta-GGA SCAN).

```
InFe2Pt
1.0
3.8122 0.0000 0.0000
0.0000 3.8122 0.0000
0.0000 0.0000 3.9525
In Fe Pt
1 2 1
Cartesian
0.0000 0.0000 0.0000
0.0000 1.9061 1.9762
1.9061 0.0000 1.9762
1.9061 1.9061 0.0000
```

Output
M_tot = 1.43 μB/atom
Symmetry = P4/mmm (123)
E = -140.6 eV per cell
E_form = -0.197 eV/atom



Entry 15:
Entry from Alexandria: a PBEsol-optimized structure of In2FePt (meta-GGA SCAN).

```
In2FePt
1.0
2.9669 0.0000 0.0000
0.0000 3.4980 0.0000
0.0000 0.0000 6.3196
In Fe Pt
2 1 1
Cartesian
0.0000 0.0000 1.5128
0.0000 0.0000 4.8068
1.4835 1.7490 0.0000
1.4835 1.7490 3.1598
```

Output
M_tot = 0.61 μB/atom
Symmetry = Pmmm (47)
E = -155.3 eV per cell
E_form = -0.054 eV/atom



Entry 16:
Entry from Alexandria: a PBEsol-optimized structure of In2FePt (meta-GGA SCAN).

```
In2FePt
1.0
3.0864 0.0000 0.0000
0.0000 3.8471 0.0000
0.0000 0.0000 5.7930
In Fe Pt
2 1 1
Cartesian
0.0000 0.0000 0.0000
1.5432 1.9236 1.8153
1.5432 1.9236 4.5406
0.0000 0.0000 3.1093
```

Output
M_tot = 0.75 μB/atom
Symmetry = Pmm2 (25)
E = -155.2 eV per cell
E_form = -0.025 eV/atom



Entry 17:
Entry from Alexandria: a PBEsol-optimized structure of In2FePt (meta-GGA SCAN).

```
In2FePt
1.0
0.0000 3.2427 3.2427
3.2427 0.0000 3.2427
3.2427 3.2427 0.0000
In Fe Pt
2 1 1
Cartesian
0.0000 0.0000 0.0000
1.6213 1.6213 1.6213
4.8640 4.8640 4.8640
3.2427 3.2427 3.2427
```

Output
M_tot = 0.69 μB/atom
Symmetry = F-43m (216)
E = -154.8 eV per cell
E_form = 0.069 eV/atom



Entry 18:
Entry from Alexandria: a PBEsol-optimized structure of InFePt3 (meta-GGA SCAN).

```
InFePt3
1.0
4.8252 0.0000 0.0000
0.0000 4.8252 0.0000
0.0000 0.0000 4.8252
In Fe Pt
1 1 3
Cartesian
0.0000 0.0000 0.0000
2.4126 2.4126 2.4126
0.0000 0.0000 2.4126
0.0000 2.4126 0.0000
2.4126 0.0000 0.0000
```

Output
M_tot = 0.73 μB/atom
Symmetry = Pm-3m (221)
E = -254.9 eV per cell
E_form = 1.434 eV/atom



Entry 19:
Entry from Alexandria: a PBEsol-optimized structure of InFe2Pt (meta-GGA SCAN).

```
InFe2Pt
1.0
4.5666 -1.4215 0.0000
4.5666 1.4215 0.0000
-1.0270 0.0000 4.4986
In Fe Pt
1 2 1
Cartesian
0.0000 0.0000 0.0000
1.5008 0.0000 3.2460
6.6053 0.0000 1.2526
4.0531 0.0000 2.2493
```

Output
M_tot = 1.43 μB/atom
Symmetry = C2/m (12)
E = -140.1 eV per cell
E_form = -0.054 eV/atom



Entry 20:
Entry from Alexandria: a PBEsol-optimized structure of RbIn3Fe (meta-GGA SCAN).

```
RbIn3Fe
1.0
5.0286 0.0000 0.0000
0.0000 5.0286 0.0000
0.0000 0.0000 5.0286
Rb In Fe
1 3 1
Cartesian
0.0000 0.0000 0.0000
0.0000 2.5143 2.5143
2.5143 0.0000 2.5143
2.5143 2.5143 0.0000
2.5143 2.5143 2.5143
```

Output
M_tot = 0.00 μB/atom
Symmetry = Pm-3m (221)
E = -139.0 eV per cell
E_form = 0.004 eV/atom



Entry 21:
Entry from Alexandria: a PBEsol-optimized structure of Rb3InFe (meta-GGA SCAN).

```
Rb3InFe
1.0
6.3953 0.0000 0.0000
0.0000 6.3953 0.0000
0.0000 0.0000 6.3953
Rb In Fe
3 1 1
Cartesian
0.0000 0.0000 3.1977
0.0000 3.1977 0.0000
3.1977 0.0000 0.0000
3.1977 3.1977 3.1977
0.0000 0.0000 0.0000
```

Output
M_tot = 0.54 μB/atom
Symmetry = Pm-3m (221)
E = -109.7 eV per cell
E_form = 0.817 eV/atom



Entry 22:
Entry from Alexandria: a PBEsol-optimized structure of InFeRe2 (meta-GGA SCAN).

```
InFeRe2
1.0
3.1375 0.0000 0.0000
0.0000 4.2778 0.0000
0.0000 0.0000 4.4412
In Fe Re
1 1 2
Cartesian
0.0000 0.0000 0.0000
1.5688 2.1389 0.0000
0.0000 2.1389 2.2206
1.5688 0.0000 2.2206
```

Output
M_tot = 0.69 μB/atom
Symmetry = Pmmm (47)
E = -192.0 eV per cell
E_form = 0.438 eV/atom



Entry 23:
Entry from Alexandria: a PBEsol-optimized structure of In2FeRe (meta-GGA SCAN).

```
In2FeRe
1.0
0.0000 3.1913 3.1913
3.1913 0.0000 3.1913
3.1913 3.1913 0.0000
In Fe Re
2 1 1
Cartesian
1.5957 1.5957 1.5957
4.7870 4.7870 4.7870
0.0000 0.0000 0.0000
3.1913 3.1913 3.1913
```

Output
M_tot = 0.81 μB/atom
Symmetry = Fm-3m (225)
E = -153.5 eV per cell
E_form = 0.636 eV/atom



Entry 24:
Entry from Alexandria: a PBEsol-optimized structure of InFe2Re (meta-GGA SCAN).

```
InFe2Re
1.0
1.3869 0.8007 8.4681
-1.3869 0.8007 8.4681
0.0000 -1.6014 8.4681
In Fe Re
1 2 1
Cartesian
0.0000 0.0000 0.0000
0.0000 0.0000 6.2283
0.0000 0.0000 19.1761
0.0000 0.0000 12.7022
```

Output
M_tot = 1.24 μB/atom
Symmetry = R-3m (166)
E = -139.3 eV per cell
E_form = 0.373 eV/atom



Entry 25:
Entry from Alexandria: a PBEsol-optimized structure of In2FeRe (meta-GGA SCAN).

```
In2FeRe
1.0
2.8483 0.0000 0.0000
0.0000 2.8483 0.0000
0.0000 0.0000 8.0441
In Fe Re
2 1 1
Cartesian
0.0000 0.0000 1.9115
0.0000 0.0000 6.1325
1.4241 1.4241 0.0000
1.4241 1.4241 4.0220
```

Output
M_tot = 0.33 μB/atom
Symmetry = P4/mmm (123)
E = -153.8 eV per cell
E_form = 0.556 eV/atom



Entry 26:
Entry from Alexandria: a PBEsol-optimized structure of In2FeRe (meta-GGA SCAN).

```
In2FeRe
1.0
-1.9988 1.9988 4.1717
1.9988 -1.9988 4.1717
1.9988 1.9988 -4.1717
In Fe Re
2 1 1
Cartesian
1.9988 0.0000 2.0858
0.0000 1.9988 2.0858
0.0000 0.0000 0.0000
0.0000 0.0000 4.1717
```

Output
M_tot = 1.01 μB/atom
Symmetry = I4/mmm (139)
E = -154.2 eV per cell
E_form = 0.446 eV/atom



Entry 27:
Entry from Alexandria: a PBEsol-optimized structure of InFe2Re (meta-GGA SCAN).

```
InFe2Re
1.0
4.3602 0.0000 0.0000
0.0000 4.3602 0.0000
0.0000 0.0000 2.8644
In Fe Re
1 2 1
Cartesian
0.0000 0.0000 0.0000
0.0000 2.1801 1.4322
2.1801 0.0000 1.4322
2.1801 2.1801 0.0000
```

Output
M_tot = 1.37 μB/atom
Symmetry = P4/mmm (123)
E = -139.4 eV per cell
E_form = 0.333 eV/atom



Entry 28:
Entry from Alexandria: a PBEsol-optimized structure of In2FeRe (meta-GGA SCAN).

```
In2FeRe
1.0
3.2207 0.0000 0.0000
0.0000 3.2207 0.0000
0.0000 0.0000 6.2122
In Fe Re
2 1 1
Cartesian
0.0000 0.0000 1.4985
0.0000 0.0000 4.7138
1.6104 1.6104 0.0000
1.6104 1.6104 3.1061
```

Output
M_tot = 0.81 μB/atom
Symmetry = P4/mmm (123)
E = -153.5 eV per cell
E_form = 0.622 eV/atom



Entry 29:
Entry from Alexandria: a PBEsol-optimized structure of InFe2Re (meta-GGA SCAN).

```
InFe2Re
1.0
2.8477 0.0000 0.0000
0.0000 2.8477 0.0000
0.0000 0.0000 6.9146
In Fe Re
1 2 1
Cartesian
0.0000 0.0000 0.0000
0.0000 0.0000 3.6413
1.4239 1.4239 5.0046
1.4239 1.4239 2.1576
```

Output
M_tot = 1.20 μB/atom
Symmetry = P4mm (99)
E = -139.9 eV per cell
E_form = 0.213 eV/atom



Entry 30:
Entry from Alexandria: a PBEsol-optimized structure of InFeRe2 (meta-GGA SCAN).

```
InFeRe2
1.0
-1.9970 1.9970 3.7215
1.9970 -1.9970 3.7215
1.9970 1.9970 -3.7215
In Fe Re
1 1 2
Cartesian
0.0000 0.0000 0.0000
1.9970 0.0000 1.8607
0.0000 0.0000 3.7215
0.0000 1.9970 1.8607
```

Output
M_tot = 0.76 μB/atom
Symmetry = I-4m2 (119)
E = -192.0 eV per cell
E_form = 0.420 eV/atom



Computed mass density, in the same sequence as the records: 12.5 12.5 11.5 8.6 7.3 5.2 9.3 9.1 8.5 9.5 11.9 12.3 11.8 12.2 12.2 11.6 11.7 11.2 12.0 6.3 2.7 15.1 12.0 12.1 12.0 11.7 12.6 12.2 12.2 15.2 g/cm³.